[1]
Here is a relaxed LiHo5Hg8 crystal from Alexandria via LeMat-Bulk. Energies are from GGA-PBE.

```
LiHo5Hg8
1.0
-4.9363 -3.7039 4.5868
-0.8931 -2.4439 -7.2357
7.1953 -1.4119 2.3152
Hg Ho Li
8 5 1
direct
0.1164 0.7415 0.0067
0.4259 0.5754 0.1729
0.2652 0.2585 0.3749
0.5975 0.4246 0.8505
0.1495 0.7470 0.5741
0.9933 0.1097 0.7348
0.6251 0.8903 0.8836
0.8271 0.2530 0.4025
0.9707 0.3810 0.1155
0.5000 0.0000 0.5000
0.7345 0.6190 0.5897
0.8845 0.8551 0.2655
0.4103 0.1449 0.0293
0.2500 0.5000 0.7500
```

Values from the calculation:
Energy of formation from the pure elements in eV per atom: -0.39
Space group: I-4 (82)
Electronic total energy in eV/cell: -32.64
Size of the total moment in μB/cell: 0.000


[2]
Here is a relaxed Sc2InAs2 crystal from Alexandria via LeMat-Bulk. Energies are from GGA-PBE.

```
Sc2InAs2
1.0
-1.5682 7.4308 -0.4609
-6.6530 -1.1873 3.4953
1.5808 0.5315 3.1895
Sc As In
4 4 2
direct
0.3476 0.1524 0.5000
0.1524 0.6524 0.5000
0.8476 0.3476 0.5000
0.6524 0.8476 0.5000
0.8533 0.6467 0.0000
0.6467 0.1467 0.0000
0.3533 0.8533 0.0000
0.1467 0.3533 0.0000
0.0000 0.0000 0.0000
0.5000 0.5000 0.0000
```

Values from the calculation:
Offset from the most stable computed form in eV/atom: 0.000
Energy of formation from the pure elements in eV per atom: -0.81
Space group: P4/mbm (127)
Electronic total energy in eV/cell: -57.53
Size of the total moment in μB/cell: 0.000


[3]
Here is a relaxed FeHg2Pb crystal from Alexandria via LeMat-Bulk. Energies are from GGA-PBE.

```
FeHg2Pb
1.0
-4.3683 2.7918 6.4765
4.4506 -4.8184 5.0790
1.8965 1.0720 6.1302
Hg Pb Fe
4 2 2
direct
0.1843 0.6250 0.2500
0.3750 0.4343 0.7500
0.5657 0.1250 0.2500
0.8750 0.8157 0.7500
0.7500 0.2500 0.5000
0.0000 0.0000 0.0000
0.5000 0.5000 0.0000
0.2500 0.7500 0.5000
```

Values from the calculation:
Energy of formation from the pure elements in eV per atom: 0.45
Space group: I-42d (122)
Electronic total energy in eV/cell: -21.96
Size of the total moment in μB/cell: 5.306


[4]
Here is a relaxed Cs2CuSiF6 crystal from Alexandria via LeMat-Bulk. Energies are from GGA-PBE.

```
Cs2CuSiF6
1.0
-4.0916 -1.4189 -4.8945
4.5350 -3.8768 -2.6673
-1.4307 -6.2495 -1.3554
F Cu Cs Si
6 1 2 1
direct
0.6866 0.6866 0.0000
0.3134 0.6866 0.0000
0.6856 0.6856 0.6288
0.3144 0.3144 0.3712
0.3134 0.3134 0.0000
0.6866 0.3134 0.0000
0.0000 0.0000 0.0000
0.7500 0.2500 0.5000
0.2500 0.7500 0.5000
0.5000 0.5000 0.0000
```

Values from the calculation:
Raw formation energy in meV per atom: -2488
Space group: I4/mmm (139)
Electronic total energy in eV/cell: -47.34
Size of the total moment in μB/cell: 1.000